A plane-wave DFT calculation with PBE+U was carried out for crystalline Li3Cr2P3O12 at its relaxed geometry.

Computed properties:
Spin magnetization (μB per cell): 12.0
Excess energy over the best structure of this formula in the dataset (eV/atom): 0.030

Unit cell a=8.451 b=8.451 c=8.598 alpha=61.37 beta=61.37 gamma=62.88
Site moments in Bohr magnetons follow the coordinates.
Fractional coordinates of all 40 atoms:
1 O 0.680 0.386 0.537  0.01
2 O 0.097 0.440 0.730  -0.01
3 P 0.744 0.555 0.468  0.01
4 Li 0.162 0.233 0.365  0.00
5 Cr 0.366 0.857 0.351  2.93
6 O 0.440 0.097 0.230  -0.01
7 Cr 0.634 0.143 0.649  2.93
8 Li 0.000 0.500 0.000  0.00
9 P 0.957 0.043 0.250  0.01
10 O 0.812 0.551 0.608  -0.01
11 O 0.407 0.248 0.571  -0.01
12 O 0.874 0.983 0.706  0.00
13 O 0.320 0.614 0.463  0.01
14 O 0.903 0.560 0.270  -0.01
15 Cr 0.857 0.366 0.851  2.93
16 O 0.386 0.680 0.037  0.01
17 O 0.188 0.449 0.392  -0.01
18 O 0.772 0.053 0.422  -0.01
19 O 0.017 0.126 0.794  0.00
20 P 0.445 0.256 0.032  0.01
21 Li 0.500 0.000 0.500  0.00
22 Cr 0.143 0.634 0.149  2.93
23 O 0.449 0.188 0.892  -0.01
24 O 0.126 0.017 0.294  0.00
25 O 0.248 0.407 0.071  -0.01
26 O 0.947 0.228 0.078  -0.01
27 O 0.614 0.320 0.963  0.01
28 Li 0.233 0.162 0.865  0.00
29 P 0.256 0.445 0.532  0.01
30 Li 0.838 0.767 0.635  0.00
31 O 0.053 0.772 0.922  -0.01
32 O 0.983 0.874 0.206  0.00
33 O 0.551 0.812 0.108  -0.01
34 O 0.560 0.903 0.770  -0.01
35 P 0.555 0.744 0.968  0.01
36 O 0.228 0.947 0.578  -0.01
37 P 0.043 0.957 0.750  0.01
38 O 0.593 0.752 0.429  -0.01
39 Li 0.767 0.838 0.135  0.00
40 O 0.752 0.593 0.929  -0.01